Record 1
Material: Ac4ErMg2
Method: DFT, PBE
State: optimized geometry

Structure (POSCAR):
```
Ac4ErMg2
1.0
-4.028 4.028 4.305
4.028 -4.028 4.305
4.028 4.028 -4.305
Ac Er Mg
4 1 2
direct
0.000 0.000 0.500
0.000 0.500 0.000
0.500 0.000 0.000
0.500 0.500 0.500
0.000 0.000 0.000
0.000 0.500 0.500
0.500 0.000 0.500
```

Output
E_form = 0.93 eV/f.u.
DOS(E_F) = 8.8 states/eV/f.u.
Magnetization = 0.0000 μB/atom
Space-group type = I4/mmm
Electronic total energy = -23.3 eV for the cell shown

Record 2
Material: TaAg2Br
Method: DFT, PBE
State: optimized geometry

Structure (POSCAR):
```
TaAg2Br
1.0
1.516 0.875 9.950
-1.516 0.875 9.950
0.000 -1.750 9.950
Ta Ag Br
1 2 1
direct
0.000 0.000 0.000
0.254 0.254 0.254
0.746 0.746 0.746
0.500 0.500 0.500
```

Output
DOS(E_F) = 1.6 states/eV/f.u.
Magnetization = 0.0000 μB/atom
Space-group type = R-3m
Electronic total energy = -18.1 eV for the cell shown
Formation energy without anion corrections = 0.293 eV per atom
E above lowest polymorph = 0.081 eV/atom

Record 3
Material: Ba2ReSb
Method: DFT, PBE
State: optimized geometry

Structure (POSCAR):
```
Ba2ReSb
1.0
1.829 1.056 10.822
-1.829 1.056 10.822
0.000 -2.111 10.822
Ba Re Sb
2 1 1
direct
0.242 0.242 0.242
0.758 0.758 0.758
0.500 0.500 0.500
0.000 0.000 0.000
```

Output
DOS(E_F) = 3.1 states/eV/f.u.
Magnetization = 0.2149 μB/atom
Space-group type = R-3m
Electronic total energy = -17.1 eV for the cell shown
Formation energy without anion corrections = 0.828 eV per atom